[1]
Li2CrWO6 | PBEsol | relaxed

The structure in CIF format:
```
data_Li2CrWO6
_chemical_formula_sum 'Li6 Cr3 W3 O18'
_cell_length_a 5.0059
_cell_length_b 5.0059
_cell_length_c 13.1827
_cell_angle_alpha 90.00
_cell_angle_beta 90.00
_cell_angle_gamma 120.00
_symmetry_space_group_name_H-M 'R 3'
_symmetry_Int_Tables_number 146
_symmetry_space_group_name_Hall 'R 3'
loop_
_atom_site_label
_atom_site_type_symbol
_atom_site_fract_x
_atom_site_fract_y
_atom_site_fract_z
_atom_site_occupancy
Li1 Li 0.0000 0.0000 0.0000 1
Li2 Li 0.0000 0.0000 0.4986 1
Cr1 Cr 0.0000 0.0000 0.7164 1
W1 W 0.0000 0.0000 0.2158 1
O1 O 0.0539 0.3349 0.7906 1
O2 O 0.0561 0.7148 0.2916 1
```

Calculated values
Fermi-level density of states   13.369 states/eV/cell
Crystal system   trigonal
Total energy   -240.97 eV for the cell shown
Raw formation energy   -2.084 eV/atom

=====

[2]
Li2CrP | PBEsol | relaxed

The structure in CIF format:
```
data_Li2CrP
_chemical_formula_sum 'Li2 Cr1 P1'
_cell_length_a 2.4102
_cell_length_b 2.4102
_cell_length_c 8.4489
_cell_angle_alpha 90.00
_cell_angle_beta 90.00
_cell_angle_gamma 90.00
_symmetry_space_group_name_H-M 'P 4/m m m'
_symmetry_Int_Tables_number 123
_symmetry_space_group_name_Hall '-P 4 2'
loop_
_atom_site_label
_atom_site_type_symbol
_atom_site_fract_x
_atom_site_fract_y
_atom_site_fract_z
_atom_site_occupancy
Li1 Li 0.0000 0.0000 0.2314 1
Cr1 Cr 0.5000 0.5000 0.5000 1
P1 P 0.5000 0.5000 0.0000 1
```

Calculated values
Fermi-level density of states   2.668 states/eV/cell
Crystal system   tetragonal
Total energy   -19.38 eV for the cell shown

=====

[3]
Li2CrP | PBEsol | relaxed

The structure in CIF format:
```
data_Li2CrP
_chemical_formula_sum 'Li4 Cr2 P2'
_cell_length_a 4.5431
_cell_length_b 8.9978
_cell_length_c 2.5150
_cell_angle_alpha 90.00
_cell_angle_beta 113.85
_cell_angle_gamma 90.00
_symmetry_space_group_name_H-M 'C 1 2/m 1'
_symmetry_Int_Tables_number 12
_symmetry_space_group_name_Hall '-C 2y'
loop_
_atom_site_label
_atom_site_type_symbol
_atom_site_fract_x
_atom_site_fract_y
_atom_site_fract_z
_atom_site_occupancy
Li1 Li 0.2500 0.2500 0.0000 1
Cr1 Cr 0.0000 0.0000 0.5000 1
P1 P 0.0000 0.5000 0.5000 1
```

Calculated values
Fermi-level density of states   3.685 states/eV/cell
Crystal system   monoclinic
Total energy   -40.04 eV for the cell shown

=====

[4]
Li2CrP | PBEsol | relaxed

The structure in CIF format:
```
data_Li2CrP
_chemical_formula_sum 'Li8 Cr4 P4'
_cell_length_a 5.8451
_cell_length_b 5.8451
_cell_length_c 5.8451
_cell_angle_alpha 90.00
_cell_angle_beta 90.00
_cell_angle_gamma 90.00
_symmetry_space_group_name_H-M 'F -4 3 m'
_symmetry_Int_Tables_number 216
_symmetry_space_group_name_Hall 'F -4 2 3'
loop_
_atom_site_label
_atom_site_type_symbol
_atom_site_fract_x
_atom_site_fract_y
_atom_site_fract_z
_atom_site_occupancy
Li1 Li 0.0000 0.0000 0.0000 1
Li2 Li 0.2500 0.2500 0.2500 1
Cr1 Cr 0.0000 0.0000 0.5000 1
P1 P 0.2500 0.2500 0.7500 1
```

Calculated values
Fermi-level density of states   9.511 states/eV/cell
Crystal system   cubic
Total energy   -82.61 eV for the cell shown

=====

[5]
LiCrP2 | PBEsol | relaxed

The structure in CIF format:
```
data_LiCrP2
_chemical_formula_sum 'Li2 Cr2 P4'
_cell_length_a 8.4973
_cell_length_b 2.9673
_cell_length_c 3.8882
_cell_angle_alpha 90.00
_cell_angle_beta 97.34
_cell_angle_gamma 90.00
_symmetry_space_group_name_H-M 'C 1 m 1'
_symmetry_Int_Tables_number 8
_symmetry_space_group_name_Hall 'C -2y'
loop_
_atom_site_label
_atom_site_type_symbol
_atom_site_fract_x
_atom_site_fract_y
_atom_site_fract_z
_atom_site_occupancy
Li1 Li 0.0000 0.0000 0.0000 1
Cr1 Cr 0.2625 0.0000 0.4572 1
P1 P 0.0508 0.5000 0.5217 1
P2 P 0.2312 0.5000 0.9760 1
```

Calculated values
Fermi-level density of states   4.150 states/eV/cell
Crystal system   monoclinic
Total energy   -49.66 eV for the cell shown
E above lowest polymorph   62 meV/atom

=====

[6]
LiCrP2 | PBEsol | relaxed

The structure in CIF format:
```
data_LiCrP2
_chemical_formula_sum 'Li2 Cr2 P4'
_cell_length_a 3.4544
_cell_length_b 3.4544
_cell_length_c 8.1850
_cell_angle_alpha 90.00
_cell_angle_beta 90.00
_cell_angle_gamma 90.00
_symmetry_space_group_name_H-M 'I -4 m 2'
_symmetry_Int_Tables_number 119
_symmetry_space_group_name_Hall 'I -4 -2'
loop_
_atom_site_label
_atom_site_type_symbol
_atom_site_fract_x
_atom_site_fract_y
_atom_site_fract_z
_atom_site_occupancy
Li1 Li 0.0000 0.0000 0.0000 1
Cr1 Cr 0.0000 0.5000 0.7500 1
P1 P 0.0000 0.0000 0.5000 1
P2 P 0.0000 0.5000 0.2500 1
```

Calculated values
Fermi-level density of states   5.432 states/eV/cell
Crystal system   tetragonal
Total energy   -48.73 eV for the cell shown
E above lowest polymorph   178 meV/atom

=====

[7]
LiCrP2 | PBEsol | relaxed

The structure in CIF format:
```
data_LiCrP2
_chemical_formula_sum 'Li1 Cr1 P2'
_cell_length_a 3.8473
_cell_length_b 3.8473
_cell_length_c 3.4118
_cell_angle_alpha 90.00
_cell_angle_beta 90.00
_cell_angle_gamma 90.00
_symmetry_space_group_name_H-M 'P 4/m m m'
_symmetry_Int_Tables_number 123
_symmetry_space_group_name_Hall '-P 4 2'
loop_
_atom_site_label
_atom_site_type_symbol
_atom_site_fract_x
_atom_site_fract_y
_atom_site_fract_z
_atom_site_occupancy
Li1 Li 0.0000 0.0000 0.0000 1
Cr1 Cr 0.5000 0.5000 0.0000 1
P1 P 0.0000 0.5000 0.5000 1
```

Calculated values
Fermi-level density of states   2.163 states/eV/cell
Crystal system   tetragonal
Total energy   -24.19 eV for the cell shown
E above lowest polymorph   221 meV/atom

=====

[8]
LiCrP2 | PBEsol | relaxed

The structure in CIF format:
```
data_LiCrP2
_chemical_formula_sum 'Li2 Cr2 P4'
_cell_length_a 7.3221
_cell_length_b 2.9877
_cell_length_c 5.1161
_cell_angle_alpha 90.00
_cell_angle_beta 103.43
_cell_angle_gamma 90.00
_symmetry_space_group_name_H-M 'C 1 2/m 1'
_symmetry_Int_Tables_number 12
_symmetry_space_group_name_Hall '-C 2y'
loop_
_atom_site_label
_atom_site_type_symbol
_atom_site_fract_x
_atom_site_fract_y
_atom_site_fract_z
_atom_site_occupancy
Li1 Li 0.0000 0.0000 0.0000 1
Cr1 Cr 0.0000 0.5000 0.5000 1
P1 P 0.2363 0.0000 0.6788 1
```

Calculated values
Fermi-level density of states   4.825 states/eV/cell
Crystal system   monoclinic
Total energy   -50.15 eV for the cell shown
E above lowest polymorph   0 meV/atom

=====

[9]
Li2CrPb | PBEsol | relaxed

The structure in CIF format:
```
data_Li2CrPb
_chemical_formula_sum 'Li2 Cr1 Pb1'
_cell_length_a 4.0037
_cell_length_b 4.0192
_cell_length_c 4.4160
_cell_angle_alpha 90.00
_cell_angle_beta 90.08
_cell_angle_gamma 90.00
_symmetry_space_group_name_H-M 'P 1 2/m 1'
_symmetry_Int_Tables_number 10
_symmetry_space_group_name_Hall '-P 2y'
loop_
_atom_site_label
_atom_site_type_symbol
_atom_site_fract_x
_atom_site_fract_y
_atom_site_fract_z
_atom_site_occupancy
Li1 Li 0.0000 0.0000 0.0000 1
Li2 Li 0.5000 0.5000 0.0000 1
Cr1 Cr 0.0000 0.5000 0.5000 1
Pb1 Pb 0.5000 0.0000 0.5000 1
```

Calculated values
Fermi-level density of states   2.441 states/eV/cell
Crystal system   monoclinic
Total energy   -17.39 eV for the cell shown

=====

[10]
LiCr3Pb | PBEsol | relaxed

The structure in CIF format:
```
data_LiCr3Pb
_chemical_formula_sum 'Li1 Cr3 Pb1'
_cell_length_a 5.2279
_cell_length_b 5.2279
_cell_length_c 5.2279
_cell_angle_alpha 90.00
_cell_angle_beta 90.00
_cell_angle_gamma 90.00
_symmetry_space_group_name_H-M 'P m -3 m'
_symmetry_Int_Tables_number 221
_symmetry_space_group_name_Hall '-P 4 2 3'
loop_
_atom_site_label
_atom_site_type_symbol
_atom_site_fract_x
_atom_site_fract_y
_atom_site_fract_z
_atom_site_occupancy
Li1 Li 0.0000 0.0000 0.0000 1
Cr1 Cr 0.0000 0.5000 0.5000 1
Pb1 Pb 0.5000 0.5000 0.5000 1
```

Calculated values
Fermi-level density of states   4.033 states/eV/cell
Crystal system   cubic
Total energy   -28.75 eV for the cell shown

=====

[11]
Li2CrPb | PBEsol | relaxed

The structure in CIF format:
```
data_Li2CrPb
_chemical_formula_sum 'Li2 Cr1 Pb1'
_cell_length_a 3.1266
_cell_length_b 4.2664
_cell_length_c 5.7115
_cell_angle_alpha 90.00
_cell_angle_beta 90.00
_cell_angle_gamma 90.00
_symmetry_space_group_name_H-M 'P m m m'
_symmetry_Int_Tables_number 47
_symmetry_space_group_name_Hall '-P 2 2'
loop_
_atom_site_label
_atom_site_type_symbol
_atom_site_fract_x
_atom_site_fract_y
_atom_site_fract_z
_atom_site_occupancy
Li1 Li 0.0000 0.0000 0.2464 1
Cr1 Cr 0.5000 0.5000 0.0000 1
Pb1 Pb 0.5000 0.5000 0.5000 1
```

Calculated values
Fermi-level density of states   1.777 states/eV/cell
Crystal system   orthorhombic
Total energy   -17.02 eV for the cell shown

=====

[12]
Li2CrPb | PBEsol | relaxed

The structure in CIF format:
```
data_Li2CrPb
_chemical_formula_sum 'Li2 Cr1 Pb1'
_cell_length_a 3.1700
_cell_length_b 4.0725
_cell_length_c 5.9514
_cell_angle_alpha 90.00
_cell_angle_beta 90.00
_cell_angle_gamma 90.00
_symmetry_space_group_name_H-M 'P m m 2'
_symmetry_Int_Tables_number 25
_symmetry_space_group_name_Hall 'P 2 -2'
loop_
_atom_site_label
_atom_site_type_symbol
_atom_site_fract_x
_atom_site_fract_y
_atom_site_fract_z
_atom_site_occupancy
Li1 Li 0.0000 0.0000 0.0000 1
Li2 Li 0.5000 0.5000 0.2561 1
Cr1 Cr 0.5000 0.5000 0.7491 1
Pb1 Pb 0.0000 0.0000 0.5080 1
```

Calculated values
Fermi-level density of states   1.551 states/eV/cell
Crystal system   orthorhombic
Total energy   -17.11 eV for the cell shown